(1)
# PBE Ca2PaGa3Pt4, relaxed
# density: 10.22 Mg/m³
data_Ca2PaGa3Pt4
_chemical_formula_sum 'Ca2 Pa1 Ga3 Pt4'
_symmetry_space_group_name_H-M 'P 1'
_symmetry_Int_Tables_number 1
_cell_length_a 4.411
_cell_length_b 4.411
_cell_length_c 10.864
_cell_angle_alpha 90.00
_cell_angle_beta 90.00
_cell_angle_gamma 90.00
loop_
_symmetry_equiv_pos_as_xyz
'x,y,z'
loop_
_atom_site_label
_atom_site_type_symbol
_atom_site_fract_x
_atom_site_fract_y
_atom_site_fract_z
_atom_site_occupancy
Ca1 Ca 0.000 0.500 0.220 1
Ca2 Ca 0.500 0.000 0.780 1
Pa1 Pa 0.000 0.000 0.500 1
Ga1 Ga 0.000 0.500 0.881 1
Ga2 Ga 0.500 0.000 0.119 1
Ga3 Ga 0.500 0.500 0.500 1
Pt1 Pt 0.000 0.000 0.000 1
Pt2 Pt 0.000 0.500 0.651 1
Pt3 Pt 0.500 0.000 0.349 1
Pt4 Pt 0.500 0.500 0.000 1

(2)
# PBE Sr2OsBr, relaxed
# density: 7.01 Mg/m³
# energy above the most stable polymorph in this dataset: 0.822 eV/atom
# formation energy from raw total energies: 0.56 eV/atom
data_Sr2OsBr
_chemical_formula_sum 'Sr2 Os1 Br1'
_symmetry_space_group_name_H-M 'P 1'
_symmetry_Int_Tables_number 1
_cell_length_a 5.304
_cell_length_b 5.304
_cell_length_c 5.304
_cell_angle_alpha 60.00
_cell_angle_beta 60.00
_cell_angle_gamma 60.00
loop_
_symmetry_equiv_pos_as_xyz
'x,y,z'
loop_
_atom_site_label
_atom_site_type_symbol
_atom_site_fract_x
_atom_site_fract_y
_atom_site_fract_z
_atom_site_occupancy
Sr1 Sr 0.000 0.000 0.000 1
Sr2 Sr 0.250 0.250 0.250 1
Os1 Os 0.750 0.750 0.750 1
Br1 Br 0.500 0.500 0.500 1

(3)
# PBE Gd3PuRh, relaxed
# density: 8.34 Mg/m³
data_Gd3PuRh
_chemical_formula_sum 'Gd3 Pu1 Rh1'
_symmetry_space_group_name_H-M 'P 1'
_symmetry_Int_Tables_number 1
_cell_length_a 5.462
_cell_length_b 5.462
_cell_length_c 5.462
_cell_angle_alpha 90.00
_cell_angle_beta 90.00
_cell_angle_gamma 90.00
loop_
_symmetry_equiv_pos_as_xyz
'x,y,z'
loop_
_atom_site_label
_atom_site_type_symbol
_atom_site_fract_x
_atom_site_fract_y
_atom_site_fract_z
_atom_site_occupancy
Gd1 Gd 0.000 0.000 0.500 1
Gd2 Gd 0.000 0.500 0.000 1
Gd3 Gd 0.500 0.000 0.000 1
Pu1 Pu 0.500 0.500 0.500 1
Rh1 Rh 0.000 0.000 0.000 1

(4)
# PBE Ge2TeS, relaxed
# density: 3.99 Mg/m³
# energy above the most stable polymorph in this dataset: 0.228 eV/atom
# formation energy from raw total energies: 0.10 eV/atom
data_Ge2TeS
_chemical_formula_sum 'Ge4 Te2 S2'
_symmetry_space_group_name_H-M 'P 1'
_symmetry_Int_Tables_number 1
_cell_length_a 8.170
_cell_length_b 8.170
_cell_length_c 8.170
_cell_angle_alpha 136.63
_cell_angle_beta 136.63
_cell_angle_gamma 63.01
loop_
_symmetry_equiv_pos_as_xyz
'x,y,z'
loop_
_atom_site_label
_atom_site_type_symbol
_atom_site_fract_x
_atom_site_fract_y
_atom_site_fract_z
_atom_site_occupancy
Ge1 Ge 0.076 0.625 0.951 1
Ge2 Ge 0.375 0.326 0.451 1
Ge3 Ge 0.674 0.125 0.049 1
Ge4 Ge 0.875 0.924 0.549 1
Te1 Te 0.250 0.750 0.500 1
Te2 Te 0.500 0.500 0.000 1
S1 S 0.000 0.000 0.000 1
S2 S 0.750 0.250 0.500 1

(5)
# PBE Pr2Tl2Hg4Pb, relaxed
# density: 9.92 Mg/m³
data_Pr2Tl2Hg4Pb
_chemical_formula_sum 'Pr2 Tl2 Hg4 Pb1'
_symmetry_space_group_name_H-M 'P 1'
_symmetry_Int_Tables_number 1
_cell_length_a 7.392
_cell_length_b 7.392
_cell_length_c 7.392
_cell_angle_alpha 120.21
_cell_angle_beta 120.21
_cell_angle_gamma 89.63
loop_
_symmetry_equiv_pos_as_xyz
'x,y,z'
loop_
_atom_site_label
_atom_site_type_symbol
_atom_site_fract_x
_atom_site_fract_y
_atom_site_fract_z
_atom_site_occupancy
Pr1 Pr 0.200 0.200 0.000 1
Pr2 Pr 0.800 0.800 0.000 1
Tl1 Tl 0.250 0.750 0.500 1
Tl2 Tl 0.750 0.250 0.500 1
Hg1 Hg 0.224 0.224 0.449 1
Hg2 Hg 0.224 0.776 0.000 1
Hg3 Hg 0.776 0.224 0.000 1
Hg4 Hg 0.776 0.776 0.551 1
Pb1 Pb 0.500 0.500 0.000 1

(6)
# PBE Cs2LiScCl6, relaxed
# density: 3.13 Mg/m³
# formation energy from raw total energies: -2.06 eV/atom
data_Cs2LiScCl6
_chemical_formula_sum 'Cs2 Li1 Sc1 Cl6'
_symmetry_space_group_name_H-M 'P 1'
_symmetry_Int_Tables_number 1
_cell_length_a 7.354
_cell_length_b 7.354
_cell_length_c 7.354
_cell_angle_alpha 60.00
_cell_angle_beta 60.00
_cell_angle_gamma 60.00
loop_
_symmetry_equiv_pos_as_xyz
'x,y,z'
loop_
_atom_site_label
_atom_site_type_symbol
_atom_site_fract_x
_atom_site_fract_y
_atom_site_fract_z
_atom_site_occupancy
Cs1 Cs 0.250 0.250 0.250 1
Cs2 Cs 0.750 0.750 0.750 1
Li1 Li 0.000 0.000 0.000 1
Sc1 Sc 0.500 0.500 0.500 1
Cl1 Cl 0.258 0.258 0.742 1
Cl2 Cl 0.258 0.742 0.258 1
Cl3 Cl 0.258 0.742 0.742 1
Cl4 Cl 0.742 0.258 0.258 1
Cl5 Cl 0.742 0.258 0.742 1
Cl6 Cl 0.742 0.742 0.258 1

(7)
# PBE Ca2Rh, relaxed
# density: 3.67 Mg/m³
data_Ca2Rh
_chemical_formula_sum 'Ca2 Rh1'
_symmetry_space_group_name_H-M 'P 1'
_symmetry_Int_Tables_number 1
_cell_length_a 4.894
_cell_length_b 4.894
_cell_length_c 4.894
_cell_angle_alpha 60.00
_cell_angle_beta 60.00
_cell_angle_gamma 60.00
loop_
_symmetry_equiv_pos_as_xyz
'x,y,z'
loop_
_atom_site_label
_atom_site_type_symbol
_atom_site_fract_x
_atom_site_fract_y
_atom_site_fract_z
_atom_site_occupancy
Ca1 Ca 0.250 0.250 0.250 1
Ca2 Ca 0.750 0.750 0.750 1
Rh1 Rh 0.000 0.000 0.000 1

(8)
# PBE LuNiHg, relaxed
# density: 11.28 Mg/m³
# energy above the most stable polymorph in this dataset: 0.014 eV/atom
data_LuNiHg
_chemical_formula_sum 'Lu1 Ni1 Hg1'
_symmetry_space_group_name_H-M 'P 1'
_symmetry_Int_Tables_number 1
_cell_length_a 4.488
_cell_length_b 4.488
_cell_length_c 4.488
_cell_angle_alpha 60.00
_cell_angle_beta 60.00
_cell_angle_gamma 60.00
loop_
_symmetry_equiv_pos_as_xyz
'x,y,z'
loop_
_atom_site_label
_atom_site_type_symbol
_atom_site_fract_x
_atom_site_fract_y
_atom_site_fract_z
_atom_site_occupancy
Lu1 Lu 0.000 0.000 0.000 1
Ni1 Ni 0.250 0.250 0.250 1
Hg1 Hg 0.500 0.500 0.500 1

no.,VASP energy (eV/atom)
1,-5.4908
2,-3.5017
3,-12.8566
4,-4.0250
5,-2.2558
6,-4.1620
7,-4.0408
8,-3.8223